Entry 1:
DFT (PBE) results for a relaxed structure of CrRhI2.

Calculated values
SG ... Fm-3m (225)
Polymorph energy (0 for the lowest one) ... 231 meV/atom
Energy relative to the elements, uncorrected ... 0.590 eV per atom

Unit cell a=4.994 b=4.994 c=4.994 alpha=60.00 beta=60.00 gamma=60.00
Each line ends with the local moment (μB).
Positions (direct):
1 I 0.250 0.250 0.250  -0.17
2 I 0.750 0.750 0.750  -0.17
3 Cr 0.000 0.000 0.000  3.77
4 Rh 0.500 0.500 0.500  -0.81

***

Entry 2:
DFT (PBE) results for a relaxed structure of Pm4ErAs5.

Calculated values
SG ... I4/m (87)
E_form ... -15.19 eV per formula unit

Unit cell a=5.956 b=7.291 c=7.291 alpha=80.40 beta=65.89 gamma=65.89
Positions (direct):
1 Pm 0.402 0.398 0.799
2 Pm 0.801 0.799 0.602
3 Pm 0.201 0.201 0.398
4 Pm 0.600 0.602 0.201
5 Er 0.001 0.000 0.000
6 As 0.902 0.394 0.803
7 As 0.296 0.803 0.606
8 As 0.706 0.197 0.394
9 As 0.100 0.606 0.197
10 As 0.501 0.000 0.000

***

Entry 3:
DFT (PBE) results for a relaxed structure of Rb4AuIO.

Calculated values
SG ... Cmcm (63)
Energy relative to the elements, uncorrected ... -0.931 eV per atom

Unit cell a=7.952 b=7.946 c=9.897 alpha=90.00 beta=113.69 gamma=90.00
Positions (direct):
1 Rb 0.898 0.250 0.796
2 Rb 0.402 0.750 0.805
3 Rb 0.102 0.750 0.204
4 Rb 0.598 0.250 0.195
5 Rb 0.500 0.500 0.500
6 Rb 0.000 0.000 0.500
7 Rb 0.500 0.000 0.500
8 Rb 0.000 0.500 0.500
9 Au 0.609 0.750 0.218
10 Au 0.391 0.250 0.782
11 I 0.104 0.250 0.208
12 I 0.896 0.750 0.792
13 O 0.252 0.750 0.504
14 O 0.748 0.250 0.496

***

Entry 4:
DFT (PBE) results for a relaxed structure of CrCo3.

Calculated values
SG ... Cm (8)
Polymorph energy (0 for the lowest one) ... 84 meV/atom
E_form ... 0.31 eV per formula unit

Unit cell a=4.716 b=4.713 c=4.712 alpha=149.17 beta=125.49 gamma=63.95
Each line ends with the local moment (μB).
Positions (direct):
1 Cr 0.585 0.248 0.333  -0.81
2 Co 0.000 0.002 0.999  1.08
3 Co 0.085 0.750 0.335  1.01
4 Co 0.498 0.500 0.000  1.08

***

Number 1: total magnetization 3.01 μB per cell. Number 2: total magnetization 0.00 μB per cell. Number 3: total magnetization 0.00 μB per cell. Number 4: total magnetization 2.29 μB per cell.